A.
A plane-wave DFT calculation with PBE was carried out for a geometry-optimized FeOsSe2 structure.

Cell lengths 9.4456, 9.4456, 9.4456 Å; angles 18.59, 18.59, 18.59 degrees
Sites, in units of the cell vectors:
Fe 0.0000 0.0000 0.0000
Os 0.2586 0.2586 0.2586
Se 0.5300 0.5300 0.5300
Se 0.7245 0.7245 0.7245

Values from the calculation:
crystal system: trigonal
space-group type: R3m, No. 160
Fermi-level density of states: 3.53 states/eV/f.u.



B.
A plane-wave DFT calculation with PBE was carried out for a geometry-optimized FeOsSe2 structure.

Cell lengths 7.0260, 7.0260, 7.0260 Å; angles 150.12, 149.28, 43.39 degrees
Sites, in units of the cell vectors:
Fe 0.0000 0.0000 0.0000
Os 0.5000 0.5000 0.0000
Se 0.1298 0.6298 0.5000
Se 0.8702 0.3702 0.5000

Values from the calculation:
crystal system: orthorhombic
space-group type: Immm, No. 71
Fermi-level density of states: 2.97 states/eV/f.u.



Most stable: B (next structure +0.105 eV/atom)